[1]
Zr3Tl5 | PBE | optimized geometry

a = 8.7013 Å, b = 8.7013 Å, c = 6.1036 Å
α = 90.00°, β = 90.00°, γ = 120.00°
Fractional coordinates of all 16 atoms:
Tl (0.3333, 0.6667, 0.0000)
Tl (0.6667, 0.3333, 0.5000)
Tl (0.6667, 0.3333, 0.0000)
Tl (0.3333, 0.6667, 0.5000)
Tl (0.2246, 0.0000, 0.2500)
Tl (0.7755, 0.0000, 0.7500)
Tl (0.0000, 0.2246, 0.2500)
Tl (0.7754, 0.7754, 0.2500)
Tl (0.2246, 0.2246, 0.7500)
Tl (0.0000, 0.7754, 0.7500)
Zr (0.5955, 0.0000, 0.2500)
Zr (0.4045, 0.0000, 0.7500)
Zr (0.0000, 0.5955, 0.2500)
Zr (0.4045, 0.4045, 0.2500)
Zr (0.5955, 0.5955, 0.7500)
Zr (0.0000, 0.4045, 0.7500)

Properties
Density of states at the Fermi level (states/eV/atom): 0.89
Distance to the lowest polymorph of the same formula (eV per atom): 0.0847
Energy relative to the elements (meV per atom): 111
ρ (g cm⁻³): 10.75

***

[2]
Ba7Ga2Ag2 | PBE | optimized geometry

a = 7.8153 Å, b = 8.3967 Å, c = 7.8153 Å
α = 89.93°, β = 110.98°, γ = 90.07°
Fractional coordinates of all 11 atoms:
Ba (0.0003, 0.2777, 0.4994)
Ba (0.4994, 0.7223, 0.0003)
Ba (0.9997, 0.7223, 0.5006)
Ba (0.5006, 0.2777, 0.9997)
Ba (0.0000, 0.0000, 0.0000)
Ba (0.4997, 0.7290, 0.5003)
Ba (0.5003, 0.2710, 0.4997)
Ga (0.8543, 0.5000, 0.8543)
Ga (0.1457, 0.5000, 0.1457)
Ag (0.6996, 0.9999, 0.3004)
Ag (0.3004, 0.0001, 0.6996)

Properties
Density of states at the Fermi level (states/eV/atom): 0.95
Energy relative to the elements (meV per atom): -102
ρ (g cm⁻³): 4.57

***

[3]
DyHoCuPb | PBE | optimized geometry

a = 5.1889 Å, b = 5.1889 Å, c = 5.1889 Å
α = 60.00°, β = 60.00°, γ = 60.00°
Fractional coordinates of all 4 atoms:
Pb (0.7500, 0.7500, 0.7500)
Ho (0.5000, 0.5000, 0.5000)
Cu (0.2500, 0.2500, 0.2500)
Dy (0.0000, 0.0000, 0.0000)

Properties
Density of states at the Fermi level (states/eV/atom): 1.05
Energy relative to the elements (meV per atom): -291
ρ (g cm⁻³): 10.05

***

[4]
AlFe2TcPd | PBE | optimized geometry

a = 4.3258 Å, b = 4.3903 Å, c = 4.3258 Å
α = 90.00°, β = 90.00°, γ = 90.00°
Site moments in Bohr magnetons follow the coordinates.
Fractional coordinates of all 5 atoms:
Al (0.0000, 0.0000, 0.0000)  -0.10
Tc (0.5000, 0.5000, 0.5000)  2.21
Pd (0.0000, 0.5000, 0.0000)  0.13
Fe (0.0000, 0.0000, 0.5000)  2.55
Fe (0.5000, 0.0000, 0.0000)  2.44

Properties
Density of states at the Fermi level (states/eV/atom): 1.08
Energy relative to the elements (meV per atom): 1112
ρ (g cm⁻³): 6.93

***

[5]
La4SiIr | PBE | optimized geometry

a = 6.4080 Å, b = 6.9556 Å, c = 10.1979 Å
α = 90.00°, β = 127.59°, γ = 90.00°
Fractional coordinates of all 12 atoms:
La (0.5051, 0.2500, 0.3987)
La (0.4949, 0.7500, 0.6013)
La (0.7633, 0.2500, 0.9011)
La (0.2367, 0.7500, 0.0989)
La (0.8629, 0.0028, 0.2692)
La (0.1371, 0.5028, 0.7308)
La (0.8629, 0.4972, 0.2692)
La (0.1371, 0.9972, 0.7308)
Si (0.3555, 0.2500, 0.0450)
Si (0.6445, 0.7500, 0.9550)
Ir (0.2767, 0.2500, 0.5683)
Ir (0.7233, 0.7500, 0.4317)

Properties
Density of states at the Fermi level (states/eV/atom): 1.09
Energy relative to the elements, uncorrected (eV per atom): -0.530
Distance to the lowest polymorph of the same formula (eV per atom): 0.0000
ρ (g cm⁻³): 7.16

***

[6]
Ac4Ir2Cl3 | PBE | optimized geometry

a = 4.3288 Å, b = 4.3288 Å, c = 18.6639 Å
α = 90.03°, β = 89.97°, γ = 120.00°
Fractional coordinates of all 9 atoms:
Ac (0.3339, 0.6661, 0.8721)
Ac (0.9992, 0.0008, 0.3065)
Ac (0.0008, 0.9992, 0.6935)
Ac (0.6661, 0.3339, 0.1279)
Ir (0.6673, 0.3327, 0.7875)
Ir (0.3327, 0.6673, 0.2125)
Cl (0.6657, 0.3343, 0.4035)
Cl (0.0000, 0.0000, 0.0000)
Cl (0.3343, 0.6657, 0.5965)

Properties
Density of states at the Fermi level (states/eV/atom): 0.48
Energy relative to the elements, uncorrected (eV per atom): -1.440
ρ (g cm⁻³): 7.67

***

| no. | total DFT energy (no corrections) (eV/cell) | volume (A^3/atom) |
| --- | --- | --- |
| 1 | -73.171 | 25.0 |
| 2 | -26.339 | 43.5 |
| 3 | -18.150 | 24.7 |
| 4 | -30.667 | 16.4 |
| 5 | -74.352 | 30.0 |
| 6 | -52.659 | 33.7 |